An optimized crystal structure of Li2Be2Sn, computed with GGA-PBEsol.

Cell lengths 6.3207, 6.3207, 3.6339 Å; angles 90.00, 90.00, 90.00 degrees
Positions (direct):
Li (0.1653, 0.3347, 0.0000)
Li (0.3347, 0.8347, 0.0000)
Li (0.6653, 0.1653, 0.0000)
Li (0.8347, 0.6653, 0.0000)
Be (0.1194, 0.6194, 0.5000)
Be (0.3806, 0.1194, 0.5000)
Be (0.6194, 0.8806, 0.5000)
Be (0.8806, 0.3806, 0.5000)
Sn (0.0000, 0.0000, 0.5000)
Sn (0.5000, 0.5000, 0.5000)

Properties
The total energy comes out at -31.17 eV per cell. The formation energy is 11.73 kJ/mol of atoms. The density of states at the Fermi level comes out at 0.331 states/eV per atom. The calculated density comes out at 3.4 Mg/m³. Its size of the total moment is 0.000 μB per formula unit.

An optimized crystal structure of Na4CoO4, computed with GGA-PBEsol.

Cell lengths 5.6667, 5.7067, 7.9198 Å; angles 88.68, 72.48, 72.83 degrees
Positions (direct):
Na (0.0139, 0.2457, 0.4087)
Na (0.1758, 0.2064, 0.0103)
Na (0.2712, 0.7099, 0.1516)
Na (0.3987, 0.2790, 0.6316)
Na (0.6013, 0.7210, 0.3684)
Na (0.7288, 0.2901, 0.8484)
Na (0.8242, 0.7936, 0.9897)
Na (0.9861, 0.7543, 0.5913)
Co (0.4193, 0.7675, 0.7556)
Co (0.5807, 0.2325, 0.2444)
O (0.1396, 0.0033, 0.7451)
O (0.2594, 0.5619, 0.8759)
O (0.3065, 0.4665, 0.3822)
O (0.4076, 0.0328, 0.2162)
O (0.5924, 0.9672, 0.7838)
O (0.6935, 0.5335, 0.6178)
O (0.7406, 0.4381, 0.1241)
O (0.8604, 0.9967, 0.2549)

Properties
The total energy comes out at -91.59 eV per cell. The density of states at the Fermi level comes out at 0.261 states/eV per atom. The calculated density comes out at 3.1 Mg/m³. As for the energy relative to the elements, uncorrected: -1.273 eV per atom. Its size of the total moment is 3.003 μB per formula unit.

An optimized crystal structure of La3IrO, computed with GGA-PBEsol.

Cell lengths 5.5072, 5.5072, 5.5072 Å; angles 90.00, 90.00, 90.00 degrees
Positions (direct):
La (0.0000, 0.0000, 0.5000)
La (0.0000, 0.5000, 0.0000)
La (0.5000, 0.0000, 0.0000)
Ir (0.0000, 0.0000, 0.0000)
O (0.5000, 0.5000, 0.5000)

Properties
The total energy comes out at -31.31 eV per cell. The density of states at the Fermi level comes out at 1.173 states/eV per atom. The calculated density comes out at 6.2 Mg/m³. As for the energy relative to the elements, uncorrected: -0.040 eV per atom. Its size of the total moment is 0.002 μB per formula unit.